1.
The following is a PBE-GGA calculation of a relaxed structure of AlCd2B2Rh5, from Alexandria via LeMat-Bulk.

Output
Energy of formation from the pure elements: -0.465 eV per atom
Magnetic moment: 0.00 Bohr magnetons per cell
N(E_F): 6.5 states/eV/cell
SG: No. 127

abc: 2.9191 9.6095 9.6095
angles: 90.00 90.00 90.00
Closest atoms and distances in Å follow each position.
Positions (direct):
1 Al 0.0000 0.0000 0.0000  8 Rh 2.63, 2 Al 2.92
2 Al 0.0000 0.5000 0.5000  8 Rh 2.63, 2 Al 2.92
3 Cd 0.0000 0.6777 0.1777  3 B 2.68-2.96, 10 Rh 2.82-2.96, 2 Cd 2.92
4 Cd 0.0000 0.3223 0.8223  3 B 2.68-2.96, 10 Rh 2.82-2.96, 2 Cd 2.92
5 Cd 0.0000 0.1777 0.3223  3 B 2.68-2.96, 10 Rh 2.82-2.96, 2 Cd 2.92
6 Cd 0.0000 0.8223 0.6777  3 B 2.68-2.96, 10 Rh 2.82-2.96, 2 Cd 2.92
7 B 0.0000 0.1253 0.6253  6 Rh 2.18-2.24
8 B 0.0000 0.8747 0.3747  6 Rh 2.18-2.24
9 B 0.0000 0.6253 0.8747  6 Rh 2.18-2.24
10 B 0.0000 0.3747 0.1253  6 Rh 2.18-2.24
11 Rh 0.5000 0.2167 0.0681  2 B 2.18
12 Rh 0.5000 0.7833 0.9319  2 B 2.18
13 Rh 0.5000 0.0681 0.7833  2 B 2.18
14 Rh 0.5000 0.7167 0.4319  2 B 2.18
15 Rh 0.5000 0.9319 0.2167  2 B 2.18
16 Rh 0.5000 0.2833 0.5681  2 B 2.18
17 Rh 0.5000 0.5681 0.7167  2 B 2.18
18 Rh 0.5000 0.4319 0.2833  2 B 2.18
19 Rh 0.5000 0.5000 0.0000  4 B 2.24
20 Rh 0.5000 0.0000 0.5000  4 B 2.24


2.
The following is a PBE-GGA calculation of a relaxed structure of Al2CdBS6, from Alexandria via LeMat-Bulk.

Output
Magnetic moment: 2.01 Bohr magnetons per cell
Energy relative to the elements, uncorrected: -5.58 eV/f.u.
SG: No. 15

abc: 6.7254 8.5762 8.5762
angles: 90.85 72.22 72.22
Closest atoms and distances in Å follow each position.
Positions (direct):
1 Al 0.3825 0.7688 0.5908  4 S 2.25-2.29
2 Al 0.1175 0.4092 0.2312  4 S 2.25-2.29
3 Al 0.6175 0.2312 0.4092  4 S 2.25-2.29
4 Al 0.8825 0.5908 0.7688  4 S 2.25-2.29
5 Cd 0.2500 0.8776 0.1224  6 S 2.66-2.91
6 Cd 0.7500 0.1224 0.8776  6 S 2.66-2.91
7 B 0.2500 0.1736 0.8264  4 S 1.93-1.97
8 B 0.7500 0.8264 0.1736  4 S 1.93-1.97
9 S 0.1834 0.9671 0.8111  1 B 1.97
10 S 0.3166 0.1889 0.0329  1 B 1.97
11 S 0.8166 0.0329 0.1889  1 B 1.97
12 S 0.6834 0.8111 0.9671  1 B 1.97
13 S 0.4688 0.8531 0.3377  1 B 1.93
14 S 0.0312 0.6623 0.1469  1 B 1.93
15 S 0.5312 0.1469 0.6623  1 B 1.93
16 S 0.9688 0.3377 0.8531  1 B 1.93
17 S 0.1039 0.6812 0.5643  2 Al 2.25-2.29
18 S 0.3961 0.4357 0.3188  2 Al 2.25-2.29
19 S 0.8961 0.3188 0.4357  2 Al 2.25-2.29
20 S 0.6039 0.5643 0.6812  2 Al 2.25-2.29


3.
The following is a PBE-GGA calculation of a relaxed structure of AlCd2BS, from Alexandria via LeMat-Bulk.

Output
Magnetic moment: 0.00 Bohr magnetons per cell
Energy relative to the elements, uncorrected: 0.90 eV/f.u.
N(E_F): 0.2 states/eV/cell
SG: No. 123

abc: 4.7175 4.0881 4.7175
angles: 90.00 90.00 90.00
Closest atoms and distances in Å follow each position.
Positions (direct):
1 S 0.5000 0.5000 0.5000  8 Cd 3.12, 4 Al 3.34
2 B 0.0000 0.0000 0.0000  2 Al 2.04
3 Al 0.0000 0.5000 0.0000  2 B 2.04
4 Cd 0.0000 0.0000 0.5000  2 B 2.36
5 Cd 0.5000 0.0000 0.0000  2 B 2.36